Here is a relaxed structure of ZrCdS2Cl from the Alexandria database. Energies are from PBE-GGA.

Cell lengths 5.026, 5.026, 5.051 Å; angles 90.00, 90.00, 90.00 degrees
Positions (direct):
S1 0.000 0.500 0.000
S2 0.500 0.000 0.000
Cl1 0.000 0.000 0.500
Zr1 0.000 0.000 0.000
Cd1 0.500 0.500 0.500

Calculated values
Electronic total energy ... -4.735 eV per atom
Mass density ... 3.95 g/cm3
SG ... P4/mmm
Offset from the most stable computed form ... 0.0 meV/atom